A plane-wave DFT calculation with PBE with a Hubbard U was carried out for a relaxed structure of SrVCuF6.

```
SrVCuF6
1.0
5.197 0.000 0.000
0.000 5.526 0.000
0.000 -2.763 4.785
Sr V Cu F
1 1 1 6
direct
0.000 0.333 0.667 Sr
0.500 0.667 0.333 V
0.500 0.000 0.000 Cu
0.718 0.674 0.634 F
0.718 0.366 0.039 F
0.718 0.961 0.326 F
0.282 0.366 0.326 F
0.282 0.674 0.039 F
0.282 0.961 0.634 F
```

Output
Space group   P312 (149)
Calculated volume   15.3 Å³ per atom
DOS at the Fermi energy   8.27 states/eV/f.u.
VASP energy   -49.43 eV per formula unit